[1]
Material: YAlTc
Method: DFT, PBEsol
State: optimized geometry

## Properties
As for the formation energy from the elements: -0.191 eV/atom. The value obtained for the magnetization is 0.0 μB/f.u. The crystal system is tetragonal.

POSCAR file:
```
YAlTc
1.0
-1.695 1.695 4.870
1.695 -1.695 4.870
1.695 1.695 -4.870
Y Al Tc
1 1 1
direct
0.000 0.000 0.000
0.708 0.708 0.000
0.311 0.311 0.000
```



[2]
Material: Al2ZnTc
Method: DFT, PBEsol
State: optimized geometry

## Properties
As for the formation energy from the elements: -0.311 eV/atom. The value obtained for the magnetization is 0.0 μB/f.u. The crystal system is orthorhombic.

POSCAR file:
```
Al2ZnTc
1.0
-1.671 1.984 4.185
1.671 -1.984 4.185
1.671 1.984 -4.185
Al Zn Tc
2 1 1
direct
0.000 0.000 0.000
0.740 0.240 0.500
0.495 0.495 0.000
0.246 0.746 0.500
```